Record 1
Below is a relaxed Pm2GaPd crystal, with properties calculated at the PBE level.

Properties
Formation enthalpy at 0 K   -2.71 eV per formula unit
Total magnetic moment   0.00 μB per formula unit
Final energy   -40.9 eV for the cell shown

Unit cell a=4.421 b=4.168 c=10.858 alpha=90.00 beta=90.00 gamma=90.00
Positions (direct):
Pm 0.000 0.000 0.000
Pm 0.000 0.500 0.500
Pm 0.500 0.000 0.281
Pm 0.500 0.500 0.781
Ga 0.500 0.000 0.566
Ga 0.500 0.500 0.066
Pd 0.000 0.000 0.716
Pd 0.000 0.500 0.216

=====

Record 2
Below is a relaxed Pm2Ga3Pd crystal, with properties calculated at the PBE level.

Properties
Energy relative to the lowest polymorph listed for this composition   5 meV per atom
Formation enthalpy at 0 K   -4.50 eV per formula unit
Total magnetic moment   0.00 μB per formula unit
Final energy   -56.5 eV for the cell shown

Unit cell a=8.948 b=8.628 c=5.856 alpha=73.52 beta=67.61 gamma=38.87
Positions (direct):
Pm 0.238 0.762 0.762
Pm 0.250 0.250 0.250
Pm 0.750 0.750 0.750
Pm 0.762 0.238 0.238
Ga 0.167 0.666 0.334
Ga 0.334 0.833 0.167
Ga 0.335 0.335 0.665
Ga 0.665 0.665 0.335
Ga 0.666 0.167 0.833
Ga 0.833 0.334 0.666
Pd 0.168 0.168 0.832
Pd 0.832 0.832 0.168

=====

Record 3
Below is a relaxed PmGa2Pd8 crystal, with properties calculated at the PBE level.

Properties
Formation enthalpy at 0 K   -2.94 eV per formula unit
Total magnetic moment   0.00 μB per formula unit
Final energy   -55.3 eV for the cell shown

Unit cell a=6.089 b=6.089 c=5.633 alpha=90.00 beta=90.00 gamma=90.00
Positions (direct):
Pm 0.000 0.000 0.000
Ga 0.000 0.500 0.500
Ga 0.500 0.000 0.500
Pd 0.277 0.277 0.250
Pd 0.277 0.277 0.750
Pd 0.277 0.723 0.250
Pd 0.277 0.723 0.750
Pd 0.723 0.277 0.250
Pd 0.723 0.277 0.750
Pd 0.723 0.723 0.250
Pd 0.723 0.723 0.750